No. 1
The following is a DFT calculation (PBE-GGA) of a relaxed NbZn4Ni crystal.

Cell: 10.1154 5.3505 6.6382 Å, 90.00 103.75 90.00°
Closest atoms and distances in Å follow each position.
Space group C2/m (No. 12)
Symmetry-distinct sites (fractional):
Nb (0.1661, 0.0000, 0.3447) x4  3 Ni 2.58-2.69, 7 Zn 2.78-2.83
Zn (0.0000, 0.2478, 0.0000) x4  6 Zn 2.60-2.74, 2 Ni 2.66, 2 Nb 2.83
Zn (0.0929, 0.2554, 0.6667) x8  6 Zn 2.54-2.79, 2 Ni 2.65-2.71, 2 Nb 2.78
Zn (0.2384, 0.5000, 0.0222) x4  1 Ni 2.51, 8 Zn 2.71-2.79
Ni (0.1343, 0.5000, 0.3300) x4  7 Zn 2.51-2.71, 3 Nb 2.58-2.69

total magnetic moment	0.000	Bohr magnetons per cell
formation enthalpy at 0 K	-70	meV/atom
DOS(E_F)	0.44	states/eV per atom

No. 2
The following is a DFT calculation (PBE-GGA) of a relaxed NbZn2Ni crystal.

Cell: 6.1122 6.1122 6.1122 Å, 90.00 90.00 90.00°
Closest atoms and distances in Å follow each position.
Space group Fm-3m (No. 225)
Symmetry-distinct sites (fractional):
Nb (0.0000, 0.0000, 0.0000) x4  8 Zn 2.65
Zn (0.2500, 0.2500, 0.2500) x8  4 Nb 2.65, 4 Ni 2.65
Ni (0.0000, 0.0000, 0.5000) x4  8 Zn 2.65

total magnetic moment	0.001	Bohr magnetons per cell
formation enthalpy at 0 K	37	meV/atom
DOS(E_F)	1.36	states/eV per atom

No. 3
The following is a DFT calculation (PBE-GGA) of a relaxed NbZn2Ni6 crystal.

Cell: 4.9282 4.9282 5.7253 Å, 90.00 90.00 120.00°
Closest atoms and distances in Å follow each position.
Space group P-3m1 (No. 164)
Symmetry-distinct sites (fractional):
Nb (0.0000, 0.0000, 0.0000) x1  6 Ni 2.41
Zn (0.3333, 0.6667, 0.1859) x2  6 Ni 2.60
Ni (0.1743, 0.3486, 0.6680) x6  6 Ni 2.35-2.58, 1 Nb 2.41, 2 Zn 2.60

total magnetic moment	0.000	Bohr magnetons per cell
formation enthalpy at 0 K	52	meV/atom
DOS(E_F)	0.79	states/eV per atom

No. 4
The following is a DFT calculation (PBE-GGA) of a relaxed Nb2ZnNi7 crystal.

Cell: 6.1994 13.9541 3.4608 Å, 90.00 90.00 90.00°
Closest atoms and distances in Å follow each position.
Space group Cmmm (No. 65)
Symmetry-distinct sites (fractional):
Nb (0.0000, 0.2013, 0.0000) x4  4 Ni 2.39-2.42
Zn (0.0000, 0.5000, 0.5000) x2  10 Ni 2.48-2.53
Ni (0.0000, 0.0000, 0.0000) x2  4 Ni 2.31
Ni (0.0000, 0.3189, 0.5000) x4  2 Nb 2.39, 4 Ni 2.43, 1 Zn 2.53
Ni (0.1939, 0.4060, 0.0000) x8  4 Ni 2.31-2.43, 1 Nb 2.42, 2 Zn 2.48

total magnetic moment	0.597	Bohr magnetons per cell
formation enthalpy at 0 K	419	meV/atom
DOS(E_F)	1.19	states/eV per atom